1.
The following is a PBE calculation of an optimized crystal structure of Y15Er4Sc, from Alexandria.

Output
SG: P4/mmm

Cell: 5.014 5.014 25.039 Å, 90.00 90.00 90.00°
Fractional positions:
Y (0.000, 0.000, 0.000)
Y (0.000, 0.000, 0.198)
Y (0.000, 0.000, 0.399)
Y (0.000, 0.000, 0.601)
Y (0.000, 0.000, 0.802)
Y (0.000, 0.500, 0.097)
Y (0.000, 0.500, 0.299)
Y (0.000, 0.500, 0.500)
Y (0.000, 0.500, 0.701)
Y (0.000, 0.500, 0.903)
Y (0.500, 0.000, 0.097)
Y (0.500, 0.000, 0.299)
Y (0.500, 0.000, 0.500)
Y (0.500, 0.000, 0.701)
Y (0.500, 0.000, 0.903)
Er (0.500, 0.500, 0.198)
Er (0.500, 0.500, 0.399)
Er (0.500, 0.500, 0.601)
Er (0.500, 0.500, 0.802)
Sc (0.500, 0.500, 0.000)

=====

2.
The following is a PBE calculation of an optimized crystal structure of ErPd2Au3, from Alexandria.

Output
SG: C2/c

Cell: 5.157 5.157 9.247 Å, 100.26 100.26 110.83°
Fractional positions:
Er (0.126, 0.874, 0.750)
Er (0.874, 0.126, 0.250)
Pd (0.045, 0.295, 0.592)
Pd (0.295, 0.045, 0.092)
Pd (0.705, 0.955, 0.908)
Pd (0.955, 0.705, 0.408)
Au (0.213, 0.462, 0.926)
Au (0.376, 0.624, 0.250)
Au (0.462, 0.213, 0.426)
Au (0.538, 0.787, 0.574)
Au (0.624, 0.376, 0.750)
Au (0.787, 0.538, 0.074)

=====

Calculated total energy in order - -6.0465 -4.6630 eV per atom